Entry 1:
This record from Alexandria via LeMat-Bulk describes crystalline MgCr2As at its relaxed geometry. The functional is PBE.

- relative energy among the computed polymorphs (kJ/mol of formula units) = 11.2
- density of states at the Fermi level (states/eV per cell) = 2.3
- formation energy (eV per atom) = 0.14

Geometry as extended XYZ:
```
4
Lattice="4.904 -0.025 -0.296 1.840 4.546 0.296 -3.208 -2.504 2.752" Properties=species:S:1:pos:R:3 pbc="T T T"
As 1.002 2.152 1.524
Cr 0.001 0.001 0.000
Cr 2.532 -0.136 1.228
Mg 3.371 2.260 0.000
```

---

Entry 2:
This record from Alexandria via LeMat-Bulk describes crystalline MgCr2As at its relaxed geometry. The functional is PBE.

- relative energy among the computed polymorphs (kJ/mol of formula units) = 0.0
- density of states at the Fermi level (states/eV per cell) = 2.9
- formation energy (eV per atom) = 0.11

Geometry as extended XYZ:
```
4
Lattice="3.104 0.520 0.000 -0.521 3.104 0.000 0.000 0.000 6.360" Properties=species:S:1:pos:R:3 pbc="T T T"
Cr 0.000 0.000 0.097
Cr 1.292 1.812 1.285
As 1.292 1.812 5.022
Mg 0.000 0.000 3.134
```

---

Entry 3:
This record from Alexandria via LeMat-Bulk describes crystalline MgCrAs4 at its relaxed geometry. The functional is PBE.

- density of states at the Fermi level (states/eV per cell) = 2.0
- formation energy (eV per atom) = 0.40

Geometry as extended XYZ:
```
6
Lattice="-3.912 -3.948 0.378 -4.609 0.339 -3.111 -0.783 -3.557 -4.215" Properties=species:S:1:pos:R:3 pbc="T T T"
Cr -6.978 -5.375 -5.211
As -3.490 -2.689 -2.607
As -5.791 -2.519 -4.160
As -5.444 -4.660 -2.418
As -3.882 -4.465 -4.711
Mg 0.000 0.000 0.000
```

---

Entry 4:
This record from Alexandria via LeMat-Bulk describes crystalline MgCr2As at its relaxed geometry. The functional is PBE.

- relative energy among the computed polymorphs (kJ/mol of formula units) = 98.6
- density of states at the Fermi level (states/eV per cell) = 3.4
- formation energy (eV per atom) = 0.37

Geometry as extended XYZ:
```
4
Lattice="-7.317 -2.329 1.237 -5.827 -3.084 4.126 -6.910 0.023 3.570" Properties=species:S:1:pos:R:3 pbc="T T T"
Mg -5.014 -1.347 2.233
Cr -0.327 -0.088 0.146
Cr -9.701 -2.607 4.321
As -15.041 -4.042 6.700
```

---

Entry 5:
This record from Alexandria via LeMat-Bulk describes crystalline MgCrAs at its relaxed geometry. The functional is PBE.

- density of states at the Fermi level (states/eV per cell) = 2.3
- formation energy (eV per atom) = 0.08

Geometry as extended XYZ:
```
3
Lattice="-1.185 3.841 -1.176 -1.002 -1.427 3.808 3.268 1.436 1.398" Properties=species:S:1:pos:R:3 pbc="T T T"
Mg 1.052 3.042 1.417
Cr -0.520 0.568 2.379
As 0.548 0.241 0.235
```

---

Entry 6:
This record from Alexandria via LeMat-Bulk describes crystalline Mg2CrAs at its relaxed geometry. The functional is PBE.

- density of states at the Fermi level (states/eV per cell) = 1.3
- formation energy (eV per atom) = 0.01

Geometry as extended XYZ:
```
4
Lattice="5.463 -0.001 -0.082 4.290 3.383 -0.082 1.885 0.654 4.007" Properties=species:S:1:pos:R:3 pbc="T T T"
Mg 2.770 0.961 1.033
Mg 1.946 0.675 3.975
As 5.625 1.950 2.026
Cr 9.003 3.122 2.738
```

---

Entry 7:
This record from Alexandria via LeMat-Bulk describes crystalline Mg2CrAs at its relaxed geometry. The functional is PBE.

- density of states at the Fermi level (states/eV per cell) = 2.5
- formation energy (eV per atom) = 0.26

Geometry as extended XYZ:
```
4
Lattice="-4.726 -7.744 2.456 -5.141 -7.843 -0.621 -2.556 -9.022 0.636" Properties=species:S:1:pos:R:3 pbc="T T T"
Mg 0.000 0.000 0.000
Mg -6.212 -12.305 1.236
As -3.106 -6.152 0.618
Cr -9.318 -18.457 1.853
```